Record 1
Computed, not measured: MgBe2 at its PBEsol-relaxed geometry at the SCAN level of DFT.

a = 2.814 Å, b = 3.349 Å, c = 8.477 Å
α = 90.00°, β = 99.55°, γ = 90.00°
Positions (direct):
Mg 0.184 0.750 0.369
Mg 0.816 0.250 0.631
Be 0.546 0.750 0.093
Be 0.050 0.250 0.100
Be 0.950 0.750 0.900
Be 0.454 0.250 0.907

Computed properties:
Its space group is Cmcm, No. 63. The crystal system is orthorhombic. The energy of formation is 0.29 eV per atom. The calculation puts the calculated volume at 13.1 Å³ per atom.

=====

Record 2
Computed, not measured: MgBe3 at its PBEsol-relaxed geometry at the SCAN level of DFT.

a = 2.695 Å, b = 4.305 Å, c = 4.411 Å
α = 107.31°, β = 90.00°, γ = 108.24°
Positions (direct):
Be 0.000 0.000 0.500
Be 0.718 0.437 0.667
Be 0.282 0.563 0.333
Mg 0.500 0.000 0.000

Computed properties:
Its space group is C2/m, No. 12. The calculation puts the energy above the most stable polymorph in this dataset at 155 meV per atom. The crystal system is monoclinic. The energy of formation is 0.40 eV per atom. The calculation puts the calculated volume at 11.5 Å³ per atom.

=====

Record 3
Computed, not measured: Mg2Be at its PBEsol-relaxed geometry at the SCAN level of DFT.

a = 4.512 Å, b = 4.512 Å, c = 5.846 Å
α = 90.00°, β = 90.00°, γ = 120.00°
Positions (direct):
Be 0.333 0.667 0.250
Be 0.667 0.333 0.750
Mg 0.667 0.333 0.250
Mg 0.333 0.667 0.750
Mg 0.000 0.000 0.000
Mg 0.000 0.000 0.500

Computed properties:
Its space group is P6_3/mmc, No. 194. The crystal system is hexagonal. The energy of formation is 0.30 eV per atom. The calculation puts the calculated volume at 17.2 Å³ per atom.

=====

Record 4
Computed, not measured: MgBe3 at its PBEsol-relaxed geometry at the SCAN level of DFT.

a = 2.561 Å, b = 4.362 Å, c = 4.755 Å
α = 117.31°, β = 105.62°, γ = 90.00°
Positions (direct):
Be 0.774 0.743 0.548
Be 0.226 0.195 0.452
Be 0.500 0.858 0.000
Mg 0.000 0.370 0.000

Computed properties:
Its space group is Imm2, No. 44. The calculation puts the energy above the most stable polymorph in this dataset at 173 meV per atom. The crystal system is orthorhombic. The energy of formation is 0.41 eV per atom. The calculation puts the calculated volume at 11.2 Å³ per atom.

=====

Record 5
Computed, not measured: Mg2BeMo at its PBEsol-relaxed geometry at the SCAN level of DFT.

a = 2.715 Å, b = 2.715 Å, c = 8.500 Å
α = 90.00°, β = 90.00°, γ = 97.54°
Positions (direct):
Mg 0.000 0.000 0.233
Mg 0.000 0.000 0.767
Be 0.500 0.500 0.000
Mo 0.500 0.500 0.500

Computed properties:
Its space group is Cmmm, No. 65. The crystal system is orthorhombic. The energy of formation is 0.39 eV per atom. The calculation puts the calculated volume at 15.5 Å³ per atom.

=====

Record 6
Computed, not measured: MgBeMo at its PBEsol-relaxed geometry at the SCAN level of DFT.

a = 3.989 Å, b = 3.989 Å, c = 3.989 Å
α = 60.00°, β = 60.00°, γ = 60.00°
Positions (direct):
Be 0.250 0.250 0.250
Mo 0.500 0.500 0.500
Mg 0.000 0.000 0.000

Computed properties:
Its space group is F-43m, No. 216. The crystal system is cubic. The energy of formation is 0.74 eV per atom. The calculation puts the calculated volume at 15.0 Å³ per atom.

=====

Record 7
Computed, not measured: Mg2BeMo at its PBEsol-relaxed geometry at the SCAN level of DFT.

a = 2.854 Å, b = 4.486 Å, c = 5.363 Å
α = 114.72°, β = 105.43°, γ = 90.00°
Positions (direct):
Be 0.000 0.500 0.000
Mg 0.721 0.721 0.442
Mg 0.279 0.279 0.558
Mo 0.500 0.000 0.000

Computed properties:
Its space group is Immm, No. 71. The crystal system is orthorhombic. The energy of formation is 0.35 eV per atom. The calculation puts the calculated volume at 14.9 Å³ per atom.

=====

Record 8
Computed, not measured: Mg2BeMo at its PBEsol-relaxed geometry at the SCAN level of DFT.

a = 2.766 Å, b = 4.166 Å, c = 5.433 Å
α = 90.00°, β = 90.00°, γ = 90.00°
Positions (direct):
Mg 0.000 0.000 0.749
Mg 0.000 0.000 0.251
Be 0.500 0.500 0.500
Mo 0.500 0.500 0.000

Computed properties:
Its space group is Pmmm, No. 47. The crystal system is orthorhombic. The energy of formation is 0.50 eV per atom. The calculation puts the calculated volume at 15.6 Å³ per atom.

=====

Record 9
Computed, not measured: MgBe2N at its PBEsol-relaxed geometry at the SCAN level of DFT.

a = 3.986 Å, b = 3.986 Å, c = 3.986 Å
α = 60.00°, β = 60.00°, γ = 60.00°
Positions (direct):
Mg 0.500 0.500 0.500
Be 0.750 0.750 0.750
Be 0.250 0.250 0.250
N 0.000 0.000 0.000

Computed properties:
Its space group is Fm-3m, No. 225. The crystal system is cubic. The value obtained for the energy relative to the elements, uncorrected is 1.36 eV per atom. The calculation puts the calculated volume at 11.2 Å³ per atom.

=====

Record 10
Computed, not measured: Mg3BeNb at its PBEsol-relaxed geometry at the SCAN level of DFT.

a = 4.539 Å, b = 4.539 Å, c = 4.539 Å
α = 90.00°, β = 90.00°, γ = 90.00°
Positions (direct):
Mg 0.000 0.500 0.000
Mg 0.500 0.000 0.000
Mg 0.000 0.000 0.500
Nb 0.500 0.500 0.500
Be 0.000 0.000 0.000

Computed properties:
Its space group is Pm-3m, No. 221. The crystal system is cubic. The energy of formation is 0.74 eV per atom. The calculation puts the calculated volume at 18.7 Å³ per atom.

=====

Record 11
Computed, not measured: RbMg2BeNb at its PBEsol-relaxed geometry at the SCAN level of DFT.

a = 4.709 Å, b = 5.619 Å, c = 5.619 Å
α = 90.00°, β = 90.00°, γ = 90.00°
Positions (direct):
Be 0.500 0.000 0.000
Nb 0.000 0.000 0.000
Mg 0.000 0.500 0.000
Mg 0.000 0.000 0.500
Rb 0.500 0.500 0.500

Computed properties:
Its space group is P4/mmm, No. 123. The crystal system is tetragonal. The energy of formation is 1.00 eV per atom. The calculation puts the calculated volume at 29.7 Å³ per atom.

=====

Record 12
Computed, not measured: MgBe2Ni at its PBEsol-relaxed geometry at the SCAN level of DFT.

a = 2.496 Å, b = 4.581 Å, c = 4.581 Å
α = 116.37°, β = 100.34°, γ = 100.34°
Positions (direct):
Ni 0.500 0.500 0.500
Mg 0.500 0.000 0.000
Be 0.000 0.000 0.500
Be 0.000 0.500 0.000

Computed properties:
Its space group is C2/m, No. 12. The crystal system is monoclinic. The energy of formation is 0.16 eV per atom. The calculation puts the calculated volume at 11.0 Å³ per atom.